(1)
The following is a DFT calculation (GGA-PBE) of a relaxed structure of ScTlGaO4.

Formation energy (no corrections) in eV/f.u.: -12.98
Spin magnetization in μB/cell: 0.0
Space group: No. 74

Cell and atoms, written as CIF:
```
data_ScTlGaO4
_cell_length_a 6.6511
_cell_length_b 6.4615
_cell_length_c 6.4615
_cell_angle_alpha 56.85
_cell_angle_beta 59.02
_cell_angle_gamma 59.02
_symmetry_space_group_name_H-M 'P 1'
_symmetry_Int_Tables_number 1
loop_
_symmetry_equiv_pos_as_xyz
'x,y,z'
loop_
_atom_site_label
_atom_site_type_symbol
_atom_site_fract_x
_atom_site_fract_y
_atom_site_fract_z
O1 O 0.7006 0.7690 0.2690
O2 O 0.7340 0.7765 0.7555
O3 O 0.2613 0.7690 0.2690
Sc1 Sc 0.5000 0.0000 0.5000
Ga1 Ga 0.6118 0.6382 0.1382
Sc2 Sc 0.0000 0.0000 0.5000
O4 O 0.7387 0.2310 0.7310
Tl1 Tl 0.0000 0.5000 0.5000
O5 O 0.2660 0.7445 0.7235
O6 O 0.2994 0.2310 0.7310
Ga2 Ga 0.3882 0.3618 0.8618
Tl2 Tl 0.0000 0.0000 0.0000
O7 O 0.2660 0.2235 0.2445
O8 O 0.7340 0.2555 0.2765
```

---

(2)
The following is a DFT calculation (GGA-PBE) of a relaxed structure of ScUGaO6.

Formation energy (no corrections) in eV/f.u.: -24.91
Spin magnetization in μB/cell: 0.0
Space group: No. 163

Cell and atoms, written as CIF:
```
data_ScUGaO6
_cell_length_a 5.2739
_cell_length_b 5.2739
_cell_length_c 9.2922
_cell_angle_alpha 90.00
_cell_angle_beta 90.00
_cell_angle_gamma 120.00
_symmetry_space_group_name_H-M 'P 1'
_symmetry_Int_Tables_number 1
loop_
_symmetry_equiv_pos_as_xyz
'x,y,z'
loop_
_atom_site_label
_atom_site_type_symbol
_atom_site_fract_x
_atom_site_fract_y
_atom_site_fract_z
O1 O 0.3433 0.3325 0.8680
Ga1 Ga 0.3333 0.6667 0.2500
O2 O 0.6675 0.0107 0.8680
Sc1 Sc 0.0000 0.0000 0.0000
O3 O 0.6567 0.6675 0.1320
O4 O 0.3433 0.0107 0.6320
O5 O 0.3325 0.3433 0.3680
O6 O 0.9893 0.3325 0.6320
U1 U 0.3333 0.6667 0.7500
O7 O 0.9893 0.6567 0.8680
Ga2 Ga 0.6667 0.3333 0.7500
O8 O 0.6567 0.9893 0.3680
O9 O 0.3325 0.9893 0.1320
Sc2 Sc 0.0000 0.0000 0.5000
U2 U 0.6667 0.3333 0.2500
O10 O 0.0107 0.3433 0.1320
O11 O 0.0107 0.6675 0.3680
O12 O 0.6675 0.6567 0.6320
```